No. 1
{"formula": "Ga2Cu2Ir", "functional": "GGA-PBE", "state": "optimized geometry", "m_tot_mub_per_fu": 0.0, "final_energy_ev_per_fu": -24.1, "dos_at_fermi_per_ev_cell": 1.522, "relative_energy_ev_per_atom": 0.000, "lattice_angstrom": [[3.8940, -1.9493, 0.0000], [3.8940, 1.9493, 0.0000], [-3.4832, 0.0000, 4.5407]], "species": ["Ga", "Ga", "Cu", "Cu", "Ir"], "frac_coords": [[0.0950, 0.0950, 0.3003], [0.9050, 0.9050, 0.6997], [0.3023, 0.3023, 0.9034], [0.6977, 0.6977, 0.0966], [0.5000, 0.5000, 0.5000]]}

---

No. 2
{"formula": "YSiBMo2", "functional": "GGA-PBE", "state": "optimized geometry", "m_tot_mub_per_fu": 0.0, "final_energy_ev_per_fu": -27.3, "dos_at_fermi_per_ev_cell": 6.056, "lattice_angstrom": [[4.9125, 0.0000, 0.0000], [0.0000, 4.9125, 0.0000], [0.0000, 0.0000, 4.2120]], "species": ["Y", "Si", "B", "Mo", "Mo"], "frac_coords": [[0.0000, 0.0000, 0.0000], [0.5000, 0.5000, 0.5000], [0.0000, 0.0000, 0.5000], [0.0000, 0.5000, 0.0000], [0.5000, 0.0000, 0.0000]]}